Record 1
LiLaGe2 | PBE | relaxed

Cell lengths 4.402, 4.475, 4.475 Å; angles 90.00, 90.00, 90.00 degrees
Positions (direct):
1 Li 0.500 0.500 0.500
2 Ge 0.000 0.500 0.000
3 Ge 0.000 0.000 0.500
4 La 0.500 0.000 0.000

Computed properties:
- energy of formation (eV/atom) = -0.4951
- DOS(E_F) (states/eV/atom) = 0.3439
- total DFT energy (no corrections) (eV/atom) = -4.5141
- excess energy over the best structure of this formula in the dataset (meV/atom) = 211

***

Record 2
AcEuSbIr | PBE | relaxed

Cell lengths 5.231, 5.231, 5.231 Å; angles 60.00, 60.00, 60.00 degrees
Site moments in Bohr magnetons follow the coordinates.
Positions (direct):
1 Ir 0.250 0.250 0.250  -0.04
2 Sb 0.000 0.000 0.000  0.01
3 Ac 0.500 0.500 0.500  0.07
4 Eu 0.750 0.750 0.750  6.90

Computed properties:
- DOS(E_F) (states/eV/atom) = 0.7697
- ΔE_f (raw) (eV per atom) = -0.299
- total DFT energy (no corrections) (eV/atom) = -7.1408

***

Record 3
ScAs2CBr | PBE | relaxed

Cell lengths 5.228, 5.228, 5.114 Å; angles 90.00, 90.00, 90.00 degrees
Site moments in Bohr magnetons follow the coordinates.
Positions (direct):
1 Sc 0.000 0.000 0.000  -0.04
2 As 0.500 0.000 0.000  -0.20
3 As 0.000 0.500 0.000  -0.20
4 Br 0.000 0.000 0.500  0.01
5 C 0.500 0.500 0.500  0.87

Computed properties:
- DOS(E_F) (states/eV/atom) = 1.0226
- ΔE_f (raw) (eV per atom) = 1.315
- total DFT energy (no corrections) (eV/atom) = -3.9910
- excess energy over the best structure of this formula in the dataset (meV/atom) = 709

***

Record 4
ZnGeRuSeO | PBE | relaxed

Cell lengths 3.311, 3.327, 8.326 Å; angles 90.23, 101.47, 119.31 degrees
Positions (direct):
1 Ru 0.472 0.139 0.657
2 Se 0.284 0.546 0.877
3 Ge 0.015 0.414 0.471
4 O 0.861 0.339 0.241
5 Zn 0.120 0.966 0.128

Computed properties:
- DOS(E_F) (states/eV/atom) = 0.5441
- ΔE_f (raw) (eV per atom) = -0.530
- total DFT energy (no corrections) (eV/atom) = -5.2518
- excess energy over the best structure of this formula in the dataset (meV/atom) = 45